## HoTiZnCu (PBE-GGA)

Data for a geometry-optimized HoTiZnCu structure.

a = 4.702 Å, b = 4.702 Å, c = 4.702 Å
α = 60.00°, β = 60.00°, γ = 60.00°
Element x y z (fractional)
Zn  0.000  0.000  0.000
Ho  0.750  0.750  0.750
Cu  0.500  0.500  0.500
Ti  0.250  0.250  0.250

Computed properties:
Magnetic moment: 1.5 μB per formula unit
Energy of formation: -0.10 eV per atom
VASP energy: -4.56 eV/atom

=====

## CeBeTcP2 (PBE-GGA)

Data for a geometry-optimized CeBeTcP2 structure.

a = 3.581 Å, b = 3.581 Å, c = 6.724 Å
α = 105.44°, β = 105.44°, γ = 90.00°
Element x y z (fractional)
Tc  0.750  0.250  0.500
P  0.626  0.626  0.252
P  0.374  0.374  0.748
Ce  0.000  0.000  0.000
Be  0.250  0.750  0.500

Computed properties:
Magnetic moment: 0.6 μB per formula unit
Energy of formation: -0.75 eV per atom
VASP energy: -6.92 eV/atom

=====

## NpGe2Te2Pt7 (PBE-GGA)

Data for a geometry-optimized NpGe2Te2Pt7 structure.

a = 4.006 Å, b = 4.006 Å, c = 15.522 Å
α = 82.60°, β = 82.60°, γ = 90.01°
Element x y z (fractional)
Te  0.791  0.791  0.418
Te  0.209  0.209  0.582
Pt  0.500  0.500  0.000
Pt  0.573  0.073  0.855
Pt  0.927  0.427  0.145
Pt  0.703  0.703  0.595
Pt  0.427  0.927  0.145
Pt  0.297  0.297  0.405
Pt  0.073  0.573  0.855
Ge  0.623  0.623  0.755
Ge  0.377  0.377  0.245
Np  0.000  0.000  0.000

Computed properties:
Magnetic moment: 3.3 μB per formula unit
VASP energy: -6.36 eV/atom
E_form (uncorrected): -0.460 eV/atom

=====

## Li7CdIn2 (PBE-GGA)

Data for a geometry-optimized Li7CdIn2 structure.

a = 4.712 Å, b = 8.064 Å, c = 8.064 Å
α = 127.79°, β = 90.00°, γ = 90.00°
Element x y z (fractional)
Li  0.500  0.282  0.070
Li  0.500  0.500  0.500
Li  0.500  0.070  0.282
Li  0.500  0.930  0.718
Li  0.000  0.198  0.802
Li  0.000  0.802  0.198
Li  0.500  0.718  0.930
In  0.500  0.706  0.294
In  0.500  0.294  0.706
Cd  0.000  0.000  0.000

Computed properties:
Magnetic moment: 0.0 μB per formula unit
Energy of formation: 0.06 eV per atom
Polymorph energy (0 for the lowest one): 211 meV per atom
VASP energy: -1.92 eV/atom

=====

## Sn3TeIr (PBE-GGA)

Data for a geometry-optimized Sn3TeIr structure.

a = 5.649 Å, b = 5.649 Å, c = 5.649 Å
α = 90.00°, β = 90.00°, γ = 90.00°
Element x y z (fractional)
Sn  0.000  0.000  0.500
Sn  0.000  0.500  0.000
Sn  0.500  0.000  0.000
Te  0.000  0.000  0.000
Ir  0.500  0.500  0.500

Computed properties:
Magnetic moment: 0.7 μB per formula unit
Polymorph energy (0 for the lowest one): 1676 meV per atom
VASP energy: -3.27 eV/atom
E_form (uncorrected): 1.536 eV/atom

=====

## NaH2OsI (PBE-GGA)

Data for a geometry-optimized NaH2OsI structure.

a = 3.947 Å, b = 6.315 Å, c = 3.947 Å
α = 90.00°, β = 90.00°, γ = 90.00°
Element x y z (fractional)
I  0.000  0.500  0.000
Na  0.000  0.000  0.000
H  0.500  0.000  0.000
H  0.000  0.000  0.500
Os  0.500  0.500  0.500

Computed properties:
Magnetic moment: 3.2 μB per formula unit
VASP energy: -2.76 eV/atom

=====

## BeIrBr (PBE-GGA)

Data for a geometry-optimized BeIrBr structure.

a = 2.908 Å, b = 2.796 Å, c = 13.455 Å
α = 101.23°, β = 90.13°, γ = 90.00°
Element x y z (fractional)
Be  0.798  0.947  0.917
Be  0.302  0.766  0.257
Ir  0.299  0.540  0.016
Ir  0.801  0.174  0.159
Br  0.798  0.788  0.747
Br  0.304  0.925  0.427

Computed properties:
Magnetic moment: 0.0 μB per formula unit
Polymorph energy (0 for the lowest one): 167 meV per atom
VASP energy: -4.89 eV/atom
E_form (uncorrected): -0.133 eV/atom

=====

## YZr3Ru (PBE-GGA)

Data for a geometry-optimized YZr3Ru structure.

a = 5.077 Å, b = 5.077 Å, c = 5.077 Å
α = 90.00°, β = 90.00°, γ = 90.00°
Element x y z (fractional)
Ru  0.000  0.000  0.000
Zr  0.500  0.000  0.000
Zr  0.000  0.500  0.000
Zr  0.000  0.000  0.500
Y  0.500  0.500  0.500

Computed properties:
Magnetic moment: 0.0 μB per formula unit
Energy of formation: 0.13 eV per atom
Polymorph energy (0 for the lowest one): 0 meV per atom
VASP energy: -8.14 eV/atom

=====

## ZrAl2Cu3 (PBE-GGA)

Data for a geometry-optimized ZrAl2Cu3 structure.

a = 6.393 Å, b = 6.393 Å, c = 4.105 Å
α = 90.00°, β = 90.00°, γ = 146.95°
Element x y z (fractional)
Cu  0.679  0.321  0.000
Cu  0.500  0.500  0.500
Cu  0.321  0.679  0.000
Zr  0.000  0.000  0.000
Al  0.164  0.836  0.500
Al  0.836  0.164  0.500

Computed properties:
Magnetic moment: 0.0 μB per formula unit
Energy of formation: -0.15 eV per atom
Polymorph energy (0 for the lowest one): 118 meV per atom
VASP energy: -4.87 eV/atom

=====

## Ac2LaSm2Y (PBE-GGA)

Data for a geometry-optimized Ac2LaSm2Y structure.

a = 5.959 Å, b = 7.401 Å, c = 10.223 Å
α = 90.00°, β = 90.00°, γ = 90.00°
Element x y z (fractional)
Sm  0.500  0.758  0.655
Sm  0.000  0.258  0.825
Sm  0.000  0.758  0.175
Sm  0.500  0.258  0.345
Ac  0.500  0.008  0.000
Ac  0.000  0.258  0.174
Ac  0.000  0.758  0.826
Ac  0.500  0.508  0.000
Y  0.000  0.008  0.500
Y  0.000  0.508  0.500
La  0.500  0.757  0.337
La  0.500  0.257  0.663

Computed properties:
Magnetic moment: 0.0 μB per formula unit
Energy of formation: 0.08 eV per atom
VASP energy: -4.77 eV/atom

=====

## KNp2Cl7 (PBE-GGA)

Data for a geometry-optimized KNp2Cl7 structure.

a = 5.416 Å, b = 8.694 Å, c = 8.256 Å
α = 121.77°, β = 90.00°, γ = 90.00°
Element x y z (fractional)
Np  0.500  0.695  0.390
Np  0.500  0.305  0.610
Cl  0.500  0.326  0.278
Cl  0.500  0.952  0.278
Cl  0.500  0.048  0.722
Cl  0.500  0.674  0.722
Cl  0.000  0.708  0.415
Cl  0.000  0.292  0.585
Cl  0.500  0.500  0.000
K  0.000  0.000  0.000

Computed properties:
Magnetic moment: 8.0 μB per formula unit
VASP energy: -5.73 eV/atom
E_form (uncorrected): -1.743 eV/atom

=====

## SrGeH3 (PBE-GGA)

Data for a geometry-optimized SrGeH3 structure.

a = 4.395 Å, b = 4.395 Å, c = 4.395 Å
α = 90.00°, β = 90.00°, γ = 90.00°
Element x y z (fractional)
H  0.000  0.500  0.000
H  0.500  0.000  0.000
H  0.000  0.000  0.500
Sr  0.000  0.000  0.000
Ge  0.500  0.500  0.500

Computed properties:
Magnetic moment: 0.0 μB per formula unit
Polymorph energy (0 for the lowest one): 649 meV per atom
VASP energy: -2.81 eV/atom

=====

What did the fifth record say?
## Sn3TeIr (PBE-GGA)

Data for a geometry-optimized Sn3TeIr structure.

a = 5.649 Å, b = 5.649 Å, c = 5.649 Å
α = 90.00°, β = 90.00°, γ = 90.00°
Element x y z (fractional)
Sn  0.000  0.000  0.500
Sn  0.000  0.500  0.000
Sn  0.500  0.000  0.000
Te  0.000  0.000  0.000
Ir  0.500  0.500  0.500

Computed properties:
Magnetic moment: 0.7 μB per formula unit
Polymorph energy (0 for the lowest one): 1676 meV per atom
VASP energy: -3.27 eV/atom
E_form (uncorrected): 1.536 eV/atom